Li4Y2Br9: optimized geometry, PBE.

extended XYZ file:
```
30
Lattice="-4.126 1.828 -5.401 -3.765 -4.899 -3.369 -14.494 2.861 12.039" Properties=species:S:1:pos:R:3 pbc="T T T"
Br -17.395 -1.529 2.046
Br -3.935 1.319 -2.544
Br -10.956 -1.452 4.744
Br -4.991 1.318 1.222
Br -5.018 -2.307 -2.987
Br -9.913 2.191 5.135
Br -10.009 -1.410 0.865
Br -12.473 -2.402 -1.867
Br -7.630 0.311 -1.716
Br -12.377 1.199 2.403
Br -18.450 -1.530 5.812
Br -12.118 0.524 7.911
Br -2.550 -1.377 -0.236
Br -10.267 -0.735 -4.643
Br -17.367 2.096 6.255
Br -11.429 1.241 -1.475
Br -19.836 1.166 3.505
Br -14.755 -0.522 4.985
Y -13.329 -3.010 4.572
Y -9.056 2.799 -1.304
Y -15.942 -2.494 6.744
Y -6.443 2.283 -3.475
Li -12.735 -0.571 0.360
Li -5.495 -2.003 -5.652
Li -12.260 0.878 5.070
Li -17.376 0.347 4.214
Li -5.009 -0.558 -0.946
Li -10.126 -1.089 -1.802
Li -9.650 0.360 2.909
Li -16.891 1.792 8.920
```

Calculated values
E_form (uncorrected), eV/atom: -1.61

LiY2Br: optimized geometry, PBE.

extended XYZ file:
```
4
Lattice="5.475 0.000 0.000 2.738 4.742 0.000 2.738 1.581 4.470" Properties=species:S:1:pos:R:3 pbc="T T T"
Br 5.475 3.161 2.235
Y 2.738 1.581 1.118
Y 0.000 0.000 0.000
Li 8.213 4.742 3.353
```

Calculated values
E_form (uncorrected), eV/atom: 0.26
Polymorph energy (0 for the lowest one), meV per atom: 759

Li2Y2Br: optimized geometry, PBE.

extended XYZ file:
```
10
Lattice="7.615 0.000 0.000 0.000 7.615 0.000 0.000 0.000 4.965" Properties=species:S:1:pos:R:3 pbc="T T T"
Y 1.220 2.587 0.000
Y 6.395 5.028 0.000
Y 2.587 6.395 0.000
Y 5.028 1.220 0.000
Br 0.000 0.000 0.000
Br 3.807 3.807 0.000
Li 2.829 0.979 2.483
Li 4.786 6.636 2.483
Li 6.636 2.829 2.483
Li 0.979 4.786 2.483
```

Calculated values
E_form (uncorrected), eV/atom: -0.20
Polymorph energy (0 for the lowest one), meV per atom: 0

LiY2Br: optimized geometry, PBE.

extended XYZ file:
```
4
Lattice="-1.110 -0.938 5.451 4.495 -2.770 1.987 -0.217 4.830 -2.907" Properties=species:S:1:pos:R:3 pbc="T T T"
Li 0.182 1.019 3.132
Y 1.692 -1.854 3.719
Y 0.000 0.000 0.000
Br 2.985 0.103 1.400
```

Calculated values
E_form (uncorrected), eV/atom: -0.15
Polymorph energy (0 for the lowest one), meV per atom: 352

LiY2Br: optimized geometry, PBE.

extended XYZ file:
```
4
Lattice="-2.417 2.364 1.365 -2.595 -2.589 -0.110 2.069 -2.407 7.830" Properties=species:S:1:pos:R:3 pbc="T T T"
Y 0.454 -1.928 4.140
Y 1.353 -2.977 7.550
Br -1.340 -0.067 2.613
Li -1.602 -2.565 6.473
```

Calculated values
E_form (uncorrected), eV/atom: -0.35
Polymorph energy (0 for the lowest one), meV per atom: 152

LiY2Br: optimized geometry, PBE.

extended XYZ file:
```
4
Lattice="-6.031 -0.468 -2.141 -3.086 -5.596 0.583 2.924 4.961 2.830" Properties=species:S:1:pos:R:3 pbc="T T T"
Y -3.587 0.894 -0.003
Y -9.073 -6.035 -1.551
Li -2.703 -2.061 1.258
Br -4.504 -2.996 -0.770
```

Calculated values
E_form (uncorrected), eV/atom: -0.31
Polymorph energy (0 for the lowest one), meV per atom: 190

LiY2Br: optimized geometry, PBE.

extended XYZ file:
```
4
Lattice="-2.035 -2.221 -2.681 2.111 -3.333 1.159 -3.172 -2.871 4.786" Properties=species:S:1:pos:R:3 pbc="T T T"
Y -1.018 -5.945 5.698
Y -1.404 -2.943 0.470
Li -2.237 -5.147 2.929
Br -0.027 -3.698 3.084
```

Calculated values
E_form (uncorrected), eV/atom: -0.39
Polymorph energy (0 for the lowest one), meV per atom: 105

LiY2Br: optimized geometry, PBE.

extended XYZ file:
```
4
Lattice="3.499 -0.004 0.000 -1.451 3.184 0.000 0.000 0.000 9.962" Properties=species:S:1:pos:R:3 pbc="T T T"
Y 0.000 0.000 0.073
Y 0.000 0.000 4.907
Br 1.024 1.590 2.490
Li 1.024 1.590 7.471
```

Calculated values
E_form (uncorrected), eV/atom: -0.31
Polymorph energy (0 for the lowest one), meV per atom: 188

LiY2Br: optimized geometry, PBE.

extended XYZ file:
```
4
Lattice="6.540 0.000 0.000 3.744 5.363 0.000 -5.142 -2.681 3.024" Properties=species:S:1:pos:R:3 pbc="T T T"
Y 0.000 0.000 0.000
Y 1.872 2.681 1.512
Br 5.142 2.681 0.000
Li 3.270 0.000 1.512
```

Calculated values
E_form (uncorrected), eV/atom: -0.16
Polymorph energy (0 for the lowest one), meV per atom: 342

LiY2Br: optimized geometry, PBE.

extended XYZ file:
```
4
Lattice="-3.519 -5.712 0.796 3.109 -5.747 1.715 -1.651 6.389 1.449" Properties=species:S:1:pos:R:3 pbc="T T T"
Y -0.223 -6.231 1.366
Y -0.392 -10.958 2.402
Li 0.627 -2.544 2.210
Br -2.687 -2.526 1.751
```

Calculated values
E_form (uncorrected), eV/atom: -0.28
Polymorph energy (0 for the lowest one), meV per atom: 222

LiY2Br: optimized geometry, PBE.

extended XYZ file:
```
4
Lattice="5.257 0.000 0.000 2.629 4.553 0.000 2.629 1.518 4.293" Properties=species:S:1:pos:R:3 pbc="T T T"
Y 2.629 1.518 1.073
Y 7.886 4.553 3.220
Li 5.257 3.035 2.146
Br 0.000 0.000 0.000
```

Calculated values
E_form (uncorrected), eV/atom: -0.14
Polymorph energy (0 for the lowest one), meV per atom: 355

LiZnBr3: optimized geometry, PBE.

extended XYZ file:
```
10
Lattice="-1.808 -0.894 -3.380 6.664 -1.874 -3.069 -2.414 -9.379 3.771" Properties=species:S:1:pos:R:3 pbc="T T T"
Zn -1.987 -8.389 -0.157
Zn 4.429 -3.759 -2.521
Br 3.051 -8.532 -2.814
Br -0.093 -7.435 -1.422
Br 2.535 -4.713 -1.256
Br -1.109 -9.366 1.924
Br -0.609 -3.616 0.136
Br 3.551 -2.781 -4.602
Li -0.098 -4.838 -2.106
Li 2.540 -7.309 -0.572
```

Calculated values
E_form (uncorrected), eV/atom: -1.12
Polymorph energy (0 for the lowest one), meV per atom: 0

LiZnBr2: optimized geometry, PBE.

extended XYZ file:
```
4
Lattice="-0.032 3.322 -1.770 -4.133 -0.485 -0.835 -0.853 3.275 6.162" Properties=species:S:1:pos:R:3 pbc="T T T"
Li -1.263 2.358 0.447
Br -2.363 1.363 2.600
Br -0.130 0.032 0.063
Zn -3.756 3.754 3.110
```

Calculated values
E_form (uncorrected), eV/atom: -0.66
Polymorph energy (0 for the lowest one), meV per atom: 155

Li2ZnBr: optimized geometry, PBE.

extended XYZ file:
```
4
Lattice="3.460 0.000 0.000 0.000 3.460 0.000 0.000 0.000 6.310" Properties=species:S:1:pos:R:3 pbc="T T T"
Br 1.730 1.730 4.733
Zn 1.730 1.730 1.578
Li 0.000 0.000 3.086
Li 0.000 0.000 0.070
```

Calculated values
E_form (uncorrected), eV/atom: -0.58
Polymorph energy (0 for the lowest one), meV per atom: 9

LiZnBr2: optimized geometry, PBE.

extended XYZ file:
```
4
Lattice="7.031 -0.022 -0.038 -3.861 4.439 0.042 -0.690 2.249 3.878" Properties=species:S:1:pos:R:3 pbc="T T T"
Br 0.000 0.000 0.000
Br 3.170 1.114 1.920
Li -2.275 3.344 1.960
Zn 1.585 2.209 0.002
```

Calculated values
E_form (uncorrected), eV/atom: -0.76
Polymorph energy (0 for the lowest one), meV per atom: 62

LiZnBr3: optimized geometry, PBE.

extended XYZ file:
```
5
Lattice="5.215 0.000 0.000 0.000 5.215 0.000 0.000 0.000 5.215" Properties=species:S:1:pos:R:3 pbc="T T T"
Zn 0.000 0.000 0.000
Br 0.000 0.000 2.607
Br 0.000 2.607 0.000
Br 2.607 0.000 0.000
Li 2.607 2.607 2.607
```

Calculated values
E_form (uncorrected), eV/atom: -0.79
Polymorph energy (0 for the lowest one), meV per atom: 332

LiZnBr2: optimized geometry, PBE.

extended XYZ file:
```
4
Lattice="8.778 0.244 0.000 6.962 5.352 0.000 -7.870 -2.798 2.711" Properties=species:S:1:pos:R:3 pbc="T T T"
Zn 4.389 0.122 1.355
Li 7.870 2.798 0.000
Br 3.481 2.676 1.355
Br 0.000 0.000 0.000
```

Calculated values
E_form (uncorrected), eV/atom: -0.76
Polymorph energy (0 for the lowest one), meV per atom: 63

Li2ZnBr: optimized geometry, PBE.

extended XYZ file:
```
4
Lattice="6.910 0.044 -0.025 5.011 4.759 0.025 -5.885 -2.590 2.534" Properties=species:S:1:pos:R:3 pbc="T T T"
Li 0.531 0.214 0.000
Li 3.925 0.101 1.254
Br 2.073 2.095 1.279
Zn 5.469 2.203 0.000
```

Calculated values
E_form (uncorrected), eV/atom: -0.56
Polymorph energy (0 for the lowest one), meV per atom: 23

LiZnBr2: optimized geometry, PBE.

extended XYZ file:
```
4
Lattice="-6.770 4.893 -0.863 -7.605 2.711 2.307 -5.338 5.911 2.661" Properties=species:S:1:pos:R:3 pbc="T T T"
Br -2.068 1.418 0.431
Br -17.644 12.097 3.675
Li -9.856 6.758 2.053
Zn 0.000 0.000 0.000
```

Calculated values
E_form (uncorrected), eV/atom: -0.71
Polymorph energy (0 for the lowest one), meV per atom: 107

LiZnBr2: optimized geometry, PBE.

extended XYZ file:
```
4
Lattice="-3.011 3.652 1.669 -3.109 -0.801 -3.857 -1.803 -2.377 1.947" Properties=species:S:1:pos:R:3 pbc="T T T"
Br -3.060 1.426 -1.094
Br 0.000 0.000 0.000
Zn -2.456 -1.589 -0.955
Li -2.407 0.638 1.808
```

Calculated values
E_form (uncorrected), eV/atom: -0.60
Polymorph energy (0 for the lowest one), meV per atom: 219

Raw total energy list, top to bottom, in eV/atom: -3.985, -3.869, -3.889, -4.275, -4.476, -4.437, -4.523, -4.440, -4.285, -4.406, -4.272, -2.764, -2.298, -2.272, -2.392, -2.433, -2.390, -2.258, -2.347, -2.235